Al2BAs | PBE-GGA | relaxed

Properties
Its magnetic moment is 0.0 Bohr magnetons per cell. The value obtained for the total energy is -71.5 eV for the cell shown.

Cell: 4.8229 4.8229 12.4495 Å, 90.00 90.00 90.00°
Space group I-42d (No. 122)
Symmetry-distinct sites (fractional):
Al  0.1761  0.2500  0.1250
B  0.0000  0.0000  0.0000
As  0.0000  0.0000  0.5000